(1)
VASP calculation (PBE) on a relaxed GdSi2Rh2 crystal.

Results
For the magnetization, the calculation gives 7.15 μB/cell. As for the formation energy from raw total energies: -1.112 eV/atom. Its crystal system is tetragonal. The total energy is -9.0382 eV/atom. The mass density is 8.34 g/cm3.

The structure in POSCAR format:
```
GdSi2Rh2
1.0
-2.037 2.037 5.030
2.037 -2.037 5.030
2.037 2.037 -5.030
Gd Si Rh
1 2 2
direct
0.000 0.000 0.000
0.378 0.378 0.000
0.622 0.622 0.000
0.250 0.750 0.500
0.750 0.250 0.500
```

---

(2)
VASP calculation (PBE) on a relaxed NaSbIr3 crystal.

Results
For the magnetization, the calculation gives 0.00 μB/cell. As for the formation energy from raw total energies: 1.310 eV/atom. Its crystal system is cubic. The total energy is -5.0947 eV/atom. As for the polymorph energy (0 for the lowest one): 0.000 eV per atom. The mass density is 10.11 g/cm3.

The structure in POSCAR format:
```
NaSbIr3
1.0
4.912 0.000 0.000
0.000 4.912 0.000
0.000 0.000 4.912
Na Sb Ir
1 1 3
direct
0.000 0.000 0.000
0.500 0.500 0.500
0.000 0.500 0.500
0.500 0.000 0.500
0.500 0.500 0.000
```

---

(3)
VASP calculation (PBE) on a relaxed CeLuAlNi crystal.

Results
For the magnetization, the calculation gives 0.20 μB/cell. Its crystal system is cubic. The total energy is -5.2482 eV/atom. The value obtained for the energy relative to the elements is -0.253 eV/atom. The mass density is 7.74 g/cm3.

The structure in POSCAR format:
```
CeLuAlNi
1.0
0.000 3.503 3.503
3.503 0.000 3.503
3.503 3.503 0.000
Ce Lu Al Ni
1 1 1 1
direct
0.000 0.000 0.000
0.500 0.500 0.500
0.750 0.750 0.750
0.250 0.250 0.250
```

---

(4)
VASP calculation (PBE) on a relaxed YTaW2Se crystal.

Results
For the magnetization, the calculation gives 0.00 μB/cell. As for the formation energy from raw total energies: 0.907 eV/atom. Its crystal system is tetragonal. The total energy is -8.6348 eV/atom. The mass density is 11.23 g/cm3.

The structure in POSCAR format:
```
YTaW2Se
1.0
4.713 0.000 0.000
0.000 4.713 0.000
0.000 0.000 4.769
Y Ta W Se
1 1 2 1
direct
0.000 0.000 0.000
0.500 0.500 0.000
0.000 0.500 0.500
0.500 0.000 0.500
0.500 0.500 0.500
```

---

(5)
VASP calculation (PBE) on a relaxed Rb2LiCd2 crystal.

Results
For the magnetization, the calculation gives 0.00 μB/cell. Its crystal system is tetragonal. The total energy is -0.9831 eV/atom. As for the polymorph energy (0 for the lowest one): 0.119 eV per atom. The value obtained for the energy relative to the elements is 0.153 eV/atom. The mass density is 3.03 g/cm3.

The structure in POSCAR format:
```
Rb2LiCd2
1.0
10.778 0.000 0.000
0.000 10.778 0.000
0.000 0.000 3.806
Rb Li Cd
4 2 4
direct
0.191 0.309 0.000
0.309 0.809 0.000
0.691 0.191 0.000
0.809 0.691 0.000
0.000 0.000 0.000
0.500 0.500 0.000
0.099 0.599 0.500
0.401 0.099 0.500
0.599 0.901 0.500
0.901 0.401 0.500
```

---

(6)
VASP calculation (PBE) on a relaxed CaMgGeO4 crystal.

Results
For the magnetization, the calculation gives 0.00 μB/cell. As for the formation energy from raw total energies: -2.320 eV/atom. Its crystal system is orthorhombic. The total energy is -6.3268 eV/atom. As for the polymorph energy (0 for the lowest one): 0.154 eV per atom. The mass density is 4.00 g/cm3.

The structure in POSCAR format:
```
CaMgGeO4
1.0
-3.060 3.138 4.343
3.060 -3.138 4.343
3.060 3.138 -4.343
Ca Mg Ge O
2 2 2 8
direct
0.500 0.000 0.000
0.500 0.500 0.500
0.000 0.000 0.000
0.500 0.000 0.500
0.116 0.366 0.750
0.884 0.634 0.250
0.226 0.245 0.982
0.236 0.240 0.504
0.236 0.732 0.996
0.237 0.755 0.482
0.763 0.245 0.518
0.764 0.268 0.004
0.764 0.760 0.496
0.774 0.755 0.018
```

---

(7)
VASP calculation (PBE) on a relaxed YNb2InOs crystal.

Results
For the magnetization, the calculation gives 0.00 μB/cell. Its crystal system is tetragonal. The total energy is -5.6470 eV/atom. The value obtained for the energy relative to the elements is 2.467 eV/atom. The mass density is 7.88 g/cm3.

The structure in POSCAR format:
```
YNb2InOs
1.0
4.817 0.000 0.000
0.000 4.817 0.000
0.000 0.000 5.263
Y Nb In Os
1 2 1 1
direct
0.000 0.000 0.000
0.000 0.500 0.000
0.500 0.000 0.000
0.000 0.000 0.500
0.500 0.500 0.500
```

---

(8)
VASP calculation (PBE) on a relaxed CrSiAu2 crystal.

Results
For the magnetization, the calculation gives 4.04 μB/cell. As for the formation energy from raw total energies: 0.295 eV/atom. Its crystal system is trigonal. The total energy is -5.1055 eV/atom. The mass density is 11.44 g/cm3.

The structure in POSCAR format:
```
CrSiAu2
1.0
1.550 0.895 8.266
-1.550 0.895 8.266
0.000 -1.790 8.266
Cr Si Au
1 1 2
direct
0.000 0.000 0.000
0.500 0.500 0.500
0.246 0.246 0.246
0.754 0.754 0.754
```